{
  "formula": "Ce2HoTi",
  "functional": "PBE",
  "state": "optimized geometry",
  "relative_energy_mev_per_atom": 35,
  "spacegroup": "P4/mmm (123)",
  "formation_energy_mev_per_atom": 216,
  "energy_ev_per_atom": -5.869,
  "lattice": [[-2.616, 1.195, 3.998], [-3.518, -2.436, -1.574], [1.595, -3.692, 2.148]],
  "species": ["Ho", "Ce", "Ce", "Ti"],
  "fractional_positions": [[0.500, 0.500, 0.500], [0.000, 0.000, 0.500], [0.000, 0.500, 0.000], [0.500, 0.000, 0.000]]
}